! PBE-GGA TmLuBeCu, optimized geometry; values from VASP
! Total moment (μB/f.u.): 0.00
! Density (g/cm3): 9.0
! Calculated formation energy (eV per atom): -0.11
&SYSTEM
  ibrav = 0, nat = 4, ntyp = 4
/
ATOMIC_SPECIES
Cu 63.55 Cu.upf
Be 9.01 Be.upf
Lu 174.97 Lu.upf
Tm 168.93 Tm.upf
CELL_PARAMETERS angstrom
4.7762 0.0000 0.0000
2.3881 4.1363 0.0000
2.3881 1.3788 3.8997
ATOMIC_POSITIONS crystal
Cu 0.0000 0.0000 0.0000
Be 0.5000 0.5000 0.5000
Lu 0.7500 0.7500 0.7500
Tm 0.2500 0.2500 0.2500

! PBE-GGA LuBeZnCu, optimized geometry; values from VASP
! Total moment (μB/f.u.): 0.00
! Density (g/cm3): 8.4
! Calculated formation energy (eV per atom): -0.07
&SYSTEM
  ibrav = 0, nat = 4, ntyp = 4
/
ATOMIC_SPECIES
Cu 63.55 Cu.upf
Be 9.01 Be.upf
Lu 174.97 Lu.upf
Zn 65.41 Zn.upf
CELL_PARAMETERS angstrom
-3.4467 1.8318 2.1090
-3.7326 0.9057 -2.2204
-3.6634 -2.3867 0.7524
ATOMIC_POSITIONS crystal
Cu 0.2500 0.2500 0.2500
Be 0.0000 0.0000 0.0000
Lu 0.5000 0.5000 0.5000
Zn 0.7500 0.7500 0.7500

! PBE-GGA MgBe2Cu, optimized geometry; values from VASP
! Total moment (μB/f.u.): 0.00
! Density (g/cm3): 3.5
! Calculated formation energy (eV per atom): 0.36
&SYSTEM
  ibrav = 0, nat = 4, ntyp = 3
/
ATOMIC_SPECIES
Cu 63.55 Cu.upf
Mg 24.30 Mg.upf
Be 9.01 Be.upf
CELL_PARAMETERS angstrom
8.2615 -0.0055 -0.0033
7.8320 2.6293 -0.0033
7.8320 1.2769 2.2985
ATOMIC_POSITIONS crystal
Cu 0.2500 0.2500 0.2500
Mg 0.7500 0.7500 0.7500
Be 0.9899 0.9899 0.9899
Be 0.5101 0.5101 0.5101

! PBE-GGA MgBe2Cu, optimized geometry; values from VASP
! Total moment (μB/f.u.): 0.00
! Density (g/cm3): 3.7
! Calculated formation energy (eV per atom): 0.18
&SYSTEM
  ibrav = 0, nat = 4, ntyp = 3
/
ATOMIC_SPECIES
Be 9.01 Be.upf
Cu 63.55 Cu.upf
Mg 24.30 Mg.upf
CELL_PARAMETERS angstrom
-2.9804 -0.6498 2.6641
-0.2023 -3.8582 -1.2149
3.5313 1.5249 1.2678
ATOMIC_POSITIONS crystal
Be 0.0000 0.0000 0.0000
Be 0.2500 0.7500 0.5000
Cu 0.5000 0.5000 0.0000
Mg 0.7500 0.2500 0.5000

! PBE-GGA MgBe2Cu, optimized geometry; values from VASP
! Total moment (μB/f.u.): 0.00
! Density (g/cm3): 3.7
! Calculated formation energy (eV per atom): 0.22
&SYSTEM
  ibrav = 0, nat = 4, ntyp = 3
/
ATOMIC_SPECIES
Be 9.01 Be.upf
Mg 24.30 Mg.upf
Cu 63.55 Cu.upf
CELL_PARAMETERS angstrom
-3.0584 0.8466 -0.1761
-0.9543 -2.9644 2.3233
0.4524 2.2776 3.0918
ATOMIC_POSITIONS crystal
Be 0.0000 0.0000 0.0000
Be 0.5000 0.5000 0.0000
Mg 0.0000 0.5000 0.5000
Cu 0.5000 0.0000 0.5000

! PBE-GGA MgBe3Cu, optimized geometry; values from VASP
! Energy relative to the lowest polymorph listed for this composition (meV per atom): 0
! Total moment (μB/f.u.): 0.00
! Density (g/cm3): 2.8
! Calculated formation energy (eV per atom): 0.48
&SYSTEM
  ibrav = 0, nat = 5, ntyp = 3
/
ATOMIC_SPECIES
Mg 24.30 Mg.upf
Cu 63.55 Cu.upf
Be 9.01 Be.upf
CELL_PARAMETERS angstrom
4.0769 0.0000 0.0000
0.0000 4.0769 0.0000
0.0000 0.0000 4.0769
ATOMIC_POSITIONS crystal
Mg 0.5000 0.5000 0.5000
Cu 0.0000 0.0000 0.0000
Be 0.0000 0.5000 0.0000
Be 0.5000 0.0000 0.0000
Be 0.0000 0.0000 0.5000